PBE-GGA AcPuHgAs, optimized geometry; volume = 28.02 Å³ per atom; formation energy from the elements = -0.505 eV per atom
1.0
-5.2791 -0.9805 -0.6795
-2.1531 -4.6147 1.8330
-3.3367 0.0755 4.2605
As Ac Hg Pu
1 1 1 1
Cartesian
0.0000 0.0000 0.0000
-2.6922 -1.3799 1.3535
-5.3845 -2.7599 2.7071
-8.0767 -4.1398 4.0606